## MnCdAu5 (PBE)

Data for MnCdAu5 after structural relaxation.

a b c (Å): 3.988 3.988 8.597
angles (deg): 90.00 90.00 90.00
Positions (direct):
Au  0.000  0.500  0.249
Au  0.500  0.000  0.751
Au  0.000  0.500  0.751
Au  0.500  0.000  0.249
Au  0.500  0.500  0.500
Cd  0.500  0.500  0.000
Mn  0.000  0.000  0.500

- E_form (meV/atom) = -37
- size of the total moment (μB per atom) = 0.635